(1)
Computed, not measured: a relaxed NdUOs4 crystal at the PBE level of DFT.

Cell lengths 5.3824, 5.3824, 5.3824 Å; angles 60.00, 60.00, 60.00 degrees
Last column: nearest neighbours and their distance in Å.
Sites, in units of the cell vectors:
Os 0.6252 0.6252 0.1244  6 Os 2.69-2.70
Os 0.6252 0.1244 0.6252  6 Os 2.69-2.70
Os 0.6252 0.6252 0.6252  6 Os 2.69-2.70
Os 0.1244 0.6252 0.6252  6 Os 2.69-2.70
U 0.0000 0.0000 0.0000  12 Os 3.16, 4 Nd 3.30
Nd 0.2500 0.2500 0.2500  12 Os 3.16, 4 U 3.30

Output
Final energy in eV per atom: -10.215
Size of the total moment in μB/f.u.: 1.5
ρ in kg/m3: 17217

***

(2)
Computed, not measured: a relaxed NdU2Os9 crystal at the PBE level of DFT.

Cell lengths 5.2583, 5.2583, 9.4032 Å; angles 73.76, 73.76, 60.00 degrees
Last column: nearest neighbours and their distance in Å.
Sites, in units of the cell vectors:
Nd 0.0000 0.0000 0.0000  6 Os 3.04
U 0.8590 0.8590 0.4230  12 Os 3.05-3.28, 3 U 3.33
U 0.1410 0.1410 0.5770  12 Os 3.05-3.28, 3 U 3.33
Os 0.6634 0.6634 0.0098  6 Os 2.63-2.75
Os 0.3366 0.3366 0.9902  6 Os 2.63-2.75
Os 0.5000 0.5000 0.5000  6 Os 2.71
Os 0.4144 0.4144 0.2491  7 Os 2.59-2.75
Os 0.9220 0.4144 0.2491  7 Os 2.59-2.75
Os 0.4144 0.9220 0.2491  7 Os 2.59-2.75
Os 0.5856 0.5856 0.7509  7 Os 2.59-2.75
Os 0.5856 0.0780 0.7509  7 Os 2.59-2.75
Os 0.0780 0.5856 0.7509  7 Os 2.59-2.75

Output
Final energy in eV per atom: -10.666
Size of the total moment in μB/f.u.: 3.0
ρ in kg/m3: 18174

***

(3)
Computed, not measured: a relaxed NdVOs2 crystal at the PBE level of DFT.

Cell lengths 4.2729, 4.2729, 5.8641 Å; angles 68.63, 68.63, 60.00 degrees
Last column: nearest neighbours and their distance in Å.
Sites, in units of the cell vectors:
Nd 0.5000 0.5000 0.5000  8 Os 3.12-3.30
Os 0.3042 0.3042 0.0873  3 V 2.51, 3 Os 2.64
Os 0.6958 0.6958 0.9127  3 V 2.51, 3 Os 2.64
V 0.0000 0.0000 0.0000  6 Os 2.51

Output
Final energy in eV per atom: -8.998
Size of the total moment in μB/f.u.: 0.0
ρ in kg/m3: 11364